PBE Pm4GaGe3, optimized geometry; VASP energy = -42.426 eV per cell; size of the total moment = 0.312 μB per formula unit; V = 25.1 A^3/atom; ρ = 7.18 g/cm³; space-group type = No. 25
1.0
4.070 0.000 0.000
0.000 4.448 0.000
0.000 0.000 11.087
Pm Ga Ge
4 1 3
Direct
0.000 0.000 0.000
0.000 0.500 0.498
0.500 0.000 0.277
0.500 0.500 0.778
0.500 0.000 0.562
0.000 0.000 0.716
0.000 0.500 0.218
0.500 0.500 0.056